No. 1
GGA-PBE AlTl2Br6, optimized geometry; symmetry = P2_1/c; formation energy (no corrections) = -0.819 eV per atom
1.0
7.2960 0.0000 0.0000
0.0000 7.6196 0.0000
-7.1822 0.0000 10.3324
Al Tl Br
2 4 12
direct
0.0000 0.0000 0.0000
0.0000 0.5000 0.5000
0.2759 0.0753 0.7514
0.2759 0.4247 0.2514
0.7241 0.5753 0.7486
0.7241 0.9247 0.2486
0.1505 0.0140 0.2363
0.1505 0.4860 0.7363
0.2188 0.7229 0.0403
0.2188 0.7771 0.5403
0.3228 0.1836 0.0406
0.3228 0.3164 0.5406
0.6772 0.6836 0.4594
0.6772 0.8164 0.9594
0.7812 0.2229 0.4597
0.7812 0.2771 0.9597
0.8495 0.5140 0.2637
0.8495 0.9860 0.7637

No. 2
GGA-PBE CsBi3S, optimized geometry; symmetry = Pm-3m; formation energy (no corrections) = 1.708 eV per atom; distance to the lowest polymorph of the same formula = 1569 meV per atom
1.0
6.4300 0.0000 0.0000
0.0000 6.4300 0.0000
0.0000 0.0000 6.4300
Cs Bi S
1 3 1
direct
0.0000 0.0000 0.0000
0.0000 0.0000 0.5000
0.0000 0.5000 0.0000
0.5000 0.0000 0.0000
0.5000 0.5000 0.5000

No. 3
GGA-PBE TlRh3, optimized geometry; symmetry = Pmmm; E_form = 0.19 eV/atom
1.0
2.9106 0.0000 0.0000
0.0000 3.8237 0.0000
0.0000 0.0000 5.8096
Tl Rh
1 3
direct
0.0000 0.0000 0.0000
0.0000 0.0000 0.5000
0.5000 0.5000 0.2715
0.5000 0.5000 0.7285

no.,total magnetization (μB/cell)
1,0.0
2,2.9
3,0.0